1.
{"formula": "K2ThOsO8", "functional": "PBE", "state": "optimized geometry", "lattice_angstrom": [[5.240, 0.000, 0.000], [0.061, 5.586, 0.000], [0.037, 0.059, 6.675]], "species": ["K", "K", "Th", "Os", "O", "O", "O", "O", "O", "O", "O", "O"], "frac_coords": [[0.000, 0.002, 0.233], [0.000, 0.998, 0.767], [0.500, 0.500, 0.500], [0.500, 0.500, 0.000], [0.051, 0.620, 0.500], [0.189, 0.636, 0.003], [0.409, 0.286, 0.782], [0.413, 0.284, 0.222], [0.587, 0.716, 0.778], [0.591, 0.714, 0.218], [0.811, 0.364, 0.997], [0.949, 0.380, 0.500]], "volume_a3_per_atom": 16.283, "total_energy_ev_per_cell": -80.014, "raw_formation_energy_ev_per_atom": -1.63}


2.
{"formula": "K2ThOsO6", "functional": "PBE", "state": "optimized geometry", "lattice_angstrom": [[0.000, 4.245, 4.245], [4.245, 0.000, 4.245], [4.245, 4.245, 0.000]], "species": ["K", "K", "Th", "Os", "O", "O", "O", "O", "O", "O"], "frac_coords": [[0.250, 0.250, 0.250], [0.750, 0.750, 0.750], [0.000, 0.000, 0.000], [0.500, 0.500, 0.500], [0.271, 0.271, 0.729], [0.271, 0.729, 0.271], [0.271, 0.729, 0.729], [0.729, 0.271, 0.271], [0.729, 0.271, 0.729], [0.729, 0.729, 0.271]], "volume_a3_per_atom": 15.297, "total_energy_ev_per_cell": -71.402, "raw_formation_energy_ev_per_atom": -2.08}


3.
{"formula": "K2ThOs3O12", "functional": "PBE", "state": "optimized geometry", "lattice_angstrom": [[3.664, 2.116, 6.292], [-3.664, 2.116, 6.292], [0.000, -4.231, 6.292]], "species": ["K", "K", "Th", "Os", "Os", "Os", "O", "O", "O", "O", "O", "O", "O", "O", "O", "O", "O", "O"], "frac_coords": [[0.141, 0.141, 0.141], [0.859, 0.859, 0.859], [0.500, 0.500, 0.500], [0.000, 0.500, 0.500], [0.500, 0.000, 0.500], [0.500, 0.500, 0.000], [0.128, 0.589, 0.589], [0.203, 0.203, 0.577], [0.203, 0.577, 0.203], [0.411, 0.411, 0.872], [0.411, 0.872, 0.411], [0.423, 0.797, 0.797], [0.577, 0.203, 0.203], [0.589, 0.128, 0.589], [0.589, 0.589, 0.128], [0.797, 0.423, 0.797], [0.797, 0.797, 0.423], [0.872, 0.411, 0.411]], "volume_a3_per_atom": 16.259, "total_energy_ev_per_cell": -131.251, "raw_formation_energy_ev_per_atom": -1.58}


| no. | theoretical density (Mg/m³) |
| --- | --- |
| 1 | 5.34 |
| 2 | 6.47 |
| 3 | 6.09 |